1.
BaMgTeO4 | GGA-PBE | optimized geometry

E_form (uncorrected)	-1.542	eV per atom

Cell and atoms, written as POSCAR:
```
BaMgTeO4
1.0
6.3446 0.0000 0.0000
3.1723 5.4946 0.0000
3.1723 1.8315 5.1804
O Mg Ba Te
4 1 1 1
Cartesian
6.3446 5.4551 1.9566 O
6.3446 3.6631 4.4909 O
7.8966 2.7671 1.9566 O
4.7927 2.7671 1.9566 O
6.3446 3.6631 2.5902 Mg
9.5169 5.4946 3.8853 Ba
3.1723 1.8315 1.2951 Te
```

2.
Ba3MgTe2O8 | GGA-PBE | optimized geometry

E_form (uncorrected)	-1.859	eV per atom

Cell and atoms, written as POSCAR:
```
Ba3MgTe2O8
1.0
5.9683 0.0000 0.0000
-2.9841 5.1687 0.0000
0.0000 0.0000 8.0251
O Te Ba Mg
8 2 3 1
Cartesian
0.0000 3.4458 7.5893 O
2.9841 3.4669 5.3394 O
1.5103 4.3178 2.6857 O
1.4738 0.8509 5.3394 O
4.4945 0.8509 5.3394 O
2.9841 1.7229 0.4358 O
-1.5103 4.3178 2.6857 O
0.0000 1.7018 2.6857 O
0.0000 3.4458 1.6529 Te
2.9841 1.7229 6.3722 Te
0.0000 3.4458 5.0983 Ba
2.9841 1.7229 2.9268 Ba
0.0000 0.0000 0.0000 Ba
0.0000 0.0000 4.0126 Mg
```

3.
Ba2MgTe2O6 | GGA-PBE | optimized geometry

E_form (uncorrected)	-1.762	eV per atom

Cell and atoms, written as POSCAR:
```
Ba2MgTe2O6
1.0
6.3319 0.0000 0.0000
3.1659 5.4835 0.0000
3.1659 1.8278 5.6820
O Mg Te Ba
6 1 2 2
Cartesian
6.3319 5.6697 4.2078 O
4.5876 2.6487 4.2078 O
8.0761 4.6627 1.4742 O
8.0761 2.6487 4.2078 O
6.3319 1.6417 1.4742 O
4.5876 4.6627 1.4742 O
0.0000 0.0000 0.0000 Mg
6.3319 3.6557 4.3622 Te
6.3319 3.6557 1.3199 Te
9.4978 5.4835 3.5354 Ba
3.1659 1.8278 2.1466 Ba
```

4.
BaMg6TiO8 | GGA-PBE | optimized geometry

E_form (uncorrected)	-2.202	eV per atom

Cell and atoms, written as POSCAR:
```
BaMg6TiO8
1.0
4.7066 0.0000 0.0000
0.0000 4.7066 0.0000
0.0000 0.0000 8.8940
O Mg Ba Ti
8 6 1 1
Cartesian
0.0000 2.3533 4.4470 O
0.0000 0.0000 1.9423 O
2.3533 0.0000 0.0000 O
2.3533 2.3533 6.7005 O
0.0000 2.3533 0.0000 O
0.0000 0.0000 6.9517 O
2.3533 2.3533 2.1935 O
2.3533 0.0000 4.4470 O
0.0000 2.3533 2.1073 Mg
0.0000 2.3533 6.7866 Mg
2.3533 2.3533 4.4470 Mg
2.3533 0.0000 2.1073 Mg
2.3533 0.0000 6.7866 Mg
2.3533 2.3533 0.0000 Mg
0.0000 0.0000 4.4470 Ba
0.0000 0.0000 0.0000 Ti
```

5.
BaMgTi4O8 | GGA-PBE | optimized geometry

E_form (uncorrected)	-2.679	eV per atom

Cell and atoms, written as POSCAR:
```
BaMgTi4O8
1.0
3.2472 3.0602 -3.0352
-4.2779 2.2037 2.4425
4.2045 1.5000 6.0105
Mg O Ti Ba
1 8 4 1
Cartesian
2.1022 0.7500 3.0053 Mg
-1.7695 2.4892 0.6166 O
5.0492 3.1017 1.9685 O
0.6709 4.0901 1.5613 O
0.7389 2.7747 -1.2093 O
-0.0963 2.5160 5.7140 O
2.5029 2.6739 3.8565 O
0.0229 1.1877 2.7390 O
2.4025 1.4585 1.0067 O
-0.7067 2.8684 2.1360 Ti
1.3721 3.6100 5.1077 Ti
3.8805 3.8956 3.2818 Ti
1.8017 3.1539 0.3101 Ti
0.0000 0.0000 0.0000 Ba
```

6.
Ba2MgTiO5 | GGA-PBE | optimized geometry

E_form (uncorrected)	-2.737	eV per atom

Cell and atoms, written as POSCAR:
```
Ba2MgTiO5
1.0
3.5304 0.0000 0.0000
-1.7652 7.6131 0.0000
0.0000 0.0000 10.8879
Ba Mg O Ti
4 2 10 2
Cartesian
0.0000 1.8714 7.3153 Ba
1.7652 5.7417 1.8714 Ba
1.7652 5.5686 8.8748 Ba
0.0000 2.0445 3.4309 Ba
1.7652 4.3328 5.8141 Mg
0.0000 3.2803 0.3702 Mg
0.0000 7.4998 3.3765 O
0.0000 5.2384 0.0345 O
0.0000 4.8838 4.1709 O
1.7652 6.7210 5.6420 O
0.0000 4.5531 6.9719 O
1.7652 2.7293 9.6149 O
1.7652 3.0600 1.5280 O
1.7652 0.1133 8.8205 O
0.0000 0.8921 0.1981 O
1.7652 2.3747 5.4785 O
1.7652 1.0784 10.3227 Ti
0.0000 6.5346 4.8787 Ti
```

7.
BaMg6TiO8 | GGA-PBE | optimized geometry

E_form (uncorrected)	-2.221	eV per atom

Cell and atoms, written as POSCAR:
```
BaMg6TiO8
1.0
-3.6472 -2.8247 0.5570
1.8939 -1.6769 3.8977
-4.1597 6.3044 4.7335
Ti Mg O Ba
1 6 8 1
Cartesian
0.0000 0.0000 0.0000 Ti
-2.9417 0.2823 1.5509 Mg
-0.1711 0.8562 3.2212 Mg
-4.8652 3.1974 3.7396 Mg
-2.0946 3.7713 5.4100 Mg
-2.9565 0.9014 4.5941 Mg
-2.0798 3.1522 2.3668 Mg
-3.8581 2.2679 5.6201 O
-1.0709 1.6230 1.2186 O
-1.8236 -1.4123 0.2785 O
-2.0549 -0.4651 3.5681 O
-3.0888 4.6814 3.5149 O
-1.1329 2.3138 4.3156 O
-3.9034 1.7399 2.6452 O
0.9470 -0.8384 1.9489 O
-0.8766 -2.2508 2.2274 Ba
```

8.
Ba2Mg2Ti3Tl2O10 | GGA-PBE | optimized geometry

E_form (uncorrected)	-2.263	eV per atom

Cell and atoms, written as POSCAR:
```
Ba2Mg2Ti3Tl2O10
1.0
-1.8067 -2.6334 2.2425
2.6252 0.5440 2.8392
-11.3406 14.9284 4.9278
Ti O Ba Tl Mg
3 10 2 2 2
Cartesian
-1.6008 1.2371 3.6988 Ti
-9.2581 11.4309 6.0851 Ti
-11.1926 14.0223 6.8031 Ti
-8.2336 12.0527 7.7089 O
-2.6316 2.5328 4.3693 O
-4.6336 6.0772 3.6641 O
-2.6270 0.5912 2.0916 O
-12.2599 12.7362 7.6485 O
-9.8040 14.4764 7.9723 O
-10.4444 10.4791 7.4137 O
-0.4052 2.1938 2.3958 O
-8.2488 10.1444 5.3661 O
-5.5033 6.6526 7.0746 O
-3.5886 4.3210 2.3050 Ba
-7.2031 8.3520 7.5781 Ba
-4.3918 4.9899 5.9376 Tl
-6.1266 7.7093 4.2985 Tl
1.4434 1.7794 3.3661 Mg
-9.6977 11.4777 9.1437 Mg
```

What did we get for M_tot? Answer: 0.0 0.0 0.0 1.5 1.7 0.0 1.9 1.9 Bohr magnetons per cell, in the order shown.